{"formula": "SmDy2Tl3Te6", "functional": "GGA-PBE", "state": "relaxed", "formation_energy_uncorrected_ev_per_atom": -1.059, "dft_energy_ev_per_atom": -4.381, "cell": [[3.876, -6.713, 0.000], [3.876, 6.713, 0.000], [-2.585, 0.000, 8.185]], "species": ["Sm", "Dy", "Dy", "Tl", "Tl", "Tl", "Te", "Te", "Te", "Te", "Te", "Te"], "frac_coords": [[0.000, 0.000, 0.000], [0.333, 0.667, 0.000], [0.667, 0.333, 0.000], [0.165, 0.835, 0.500], [0.500, 0.500, 0.500], [0.835, 0.165, 0.500], [0.072, 0.410, 0.215], [0.267, 0.267, 0.786], [0.410, 0.072, 0.215], [0.590, 0.928, 0.785], [0.733, 0.733, 0.214], [0.928, 0.590, 0.785]]}